(1)
Computed, not measured: a geometry-optimized AgTe3Au structure at the GGA-PBEsol level of DFT.

Cell: 5.3644 5.3644 5.3644 Å, 90.00 90.00 90.00°
Space group Pm-3m (No. 221)
Asymmetric unit:
Ag 0.0000 0.0000 0.0000 (multiplicity 1)
Te 0.0000 0.5000 0.5000 (multiplicity 3)
Au 0.5000 0.5000 0.5000 (multiplicity 1)

For the mass density, the calculation gives 7397 kg/m3. For the total energy, the calculation gives -2.88 eV/atom. As for the size of the total moment: 0.000 μB/atom.



(2)
Computed, not measured: a geometry-optimized SrLaZn2 structure at the GGA-PBEsol level of DFT.

Cell: 3.7676 3.7676 7.4706 Å, 90.00 90.00 90.00°
Space group P4/mmm (No. 123)
Asymmetric unit:
Sr 0.0000 0.0000 0.0000 (multiplicity 1)
La 0.0000 0.0000 0.5000 (multiplicity 1)
Zn 0.5000 0.5000 0.2720 (multiplicity 2)

For the mass density, the calculation gives 5596 kg/m3. For the total energy, the calculation gives -2.80 eV/atom. As for the size of the total moment: 0.000 μB/atom.



- Look up the mass density of the first one.
  7397 kg/m3



Repeat the first record exactly.
Computed, not measured: a geometry-optimized AgTe3Au structure at the GGA-PBEsol level of DFT.

Cell: 5.3644 5.3644 5.3644 Å, 90.00 90.00 90.00°
Space group Pm-3m (No. 221)
Asymmetric unit:
Ag 0.0000 0.0000 0.0000 (multiplicity 1)
Te 0.0000 0.5000 0.5000 (multiplicity 3)
Au 0.5000 0.5000 0.5000 (multiplicity 1)

For the mass density, the calculation gives 7397 kg/m3. For the total energy, the calculation gives -2.88 eV/atom. As for the size of the total moment: 0.000 μB/atom.



- What is the formula in the second record?
  SrLaZn2